First-principles (meta-GGA SCAN) data for a PBEsol-optimized structure of ZnFeCo2, as listed in Alexandria via LeMat-Bulk.

Cell lengths 8.312, 8.312, 8.312 Å; angles 17.27, 17.27, 17.27 degrees
Element x y z (fractional)
Zn: 0.000 0.000 0.000
Fe: 0.754 0.754 0.754
Co: 0.247 0.247 0.247
Co: 0.502 0.502 0.502

## Properties
Calculated total energy ... -16.52 eV/atom
ΔE_f ... 42 meV per atom

***

First-principles (meta-GGA SCAN) data for a PBEsol-optimized structure of ZnFeCo2, as listed in Alexandria via LeMat-Bulk.

Cell lengths 3.924, 3.924, 2.873 Å; angles 90.00, 90.00, 90.00 degrees
Element x y z (fractional)
Zn: 0.000 0.000 0.000
Fe: 0.500 0.500 0.000
Co: 0.000 0.500 0.500
Co: 0.500 0.000 0.500

## Properties
Calculated total energy ... -16.60 eV/atom
ΔE_f ... -35 meV per atom

***

First-principles (meta-GGA SCAN) data for a PBEsol-optimized structure of ZnFeCo2, as listed in Alexandria via LeMat-Bulk.

Cell lengths 4.651, 4.651, 4.651 Å; angles 144.23, 129.91, 63.07 degrees
Element x y z (fractional)
Zn: 0.000 0.000 0.000
Fe: 0.740 0.240 0.500
Co: 0.256 0.756 0.500
Co: 0.500 0.500 0.000

## Properties
Calculated total energy ... -16.61 eV/atom
ΔE_f ... -45 meV per atom

***

First-principles (meta-GGA SCAN) data for a PBEsol-optimized structure of ZnFeCo2, as listed in Alexandria via LeMat-Bulk.

Cell lengths 2.452, 3.900, 4.764 Å; angles 90.00, 100.68, 90.00 degrees
Element x y z (fractional)
Zn: 0.000 0.000 0.000
Fe: 0.500 0.000 0.500
Co: 0.293 0.500 0.743
Co: 0.707 0.500 0.257

## Properties
Calculated total energy ... -16.62 eV/atom
ΔE_f ... -59 meV per atom